# 1
# Na2NiOsN

A relaxed Na2NiOsN crystal (GGA-PBE, Alexandria via LeMat-Bulk).

Unit cell a=5.716 b=5.716 c=3.665 alpha=90.00 beta=90.00 gamma=90.00
Fractional positions:
Na 0.000 0.500 0.000
Na 0.500 0.000 0.000
Ni 0.000 0.000 0.500
Os 0.500 0.500 0.000
N 0.500 0.500 0.500

Summary:
DOS(E_F)   12.07 states/eV/f.u.
VASP energy   -4.607 eV/atom

# 2
# NaPa2NiN4

A relaxed NaPa2NiN4 crystal (GGA-PBE, Alexandria via LeMat-Bulk).

Unit cell a=6.135 b=6.135 c=11.650 alpha=90.00 beta=90.00 gamma=145.81
Fractional positions:
Na 0.075 0.925 0.750
Na 0.925 0.075 0.250
Pa 0.367 0.633 0.560
Pa 0.367 0.633 0.940
Pa 0.633 0.367 0.060
Pa 0.633 0.367 0.440
Ni 0.192 0.808 0.250
Ni 0.808 0.192 0.750
N 0.000 0.000 0.000
N 0.000 0.000 0.500
N 0.247 0.753 0.093
N 0.247 0.753 0.407
N 0.401 0.599 0.750
N 0.599 0.401 0.250
N 0.753 0.247 0.593
N 0.753 0.247 0.907

Summary:
DOS(E_F)   2.42 states/eV/f.u.
VASP energy   -8.471 eV/atom

# 3
# NaPaNiN3

A relaxed NaPaNiN3 crystal (GGA-PBE, Alexandria via LeMat-Bulk).

Unit cell a=6.913 b=3.561 c=8.184 alpha=90.00 beta=100.15 gamma=90.00
Fractional positions:
Na 0.154 0.250 0.157
Na 0.846 0.750 0.843
Pa 0.343 0.750 0.839
Pa 0.657 0.250 0.161
Ni 0.058 0.250 0.612
Ni 0.942 0.750 0.388
N 0.135 0.750 0.583
N 0.136 0.250 0.844
N 0.446 0.750 0.121
N 0.554 0.250 0.879
N 0.864 0.750 0.156
N 0.865 0.250 0.417

Summary:
DOS(E_F)   2.00 states/eV/f.u.
VASP energy   -7.564 eV/atom